Density functional theory data (PBE) for a relaxed Be2InIr crystal.

Output
For the total magnetic moment, the calculation gives 0.00 μB per formula unit. The formation energy comes out at -9.2 kJ/mol of atoms. Its space group is C2/m (12). The total energy is -4.86 eV per atom.

Cell lengths 4.1907, 4.1907, 4.4809 Å; angles 75.36, 75.36, 50.21 degrees
Last column: nearest neighbours and their distance in Å.
Sites, in units of the cell vectors:
Be  0.9570  0.9570  0.1565  2 Be 2.14, 3 Ir 2.33-2.38
Be  0.5430  0.5430  0.3435  2 Be 2.14, 3 Ir 2.33-2.38
Ir  0.2500  0.2500  0.2500  6 Be 2.33-2.38
In  0.7500  0.7500  0.7500  4 Be 2.68-2.72, 4 Ir 2.86